# Ac2Ga3Au2 (PBE, relaxed)
data_Ac2Ga3Au2
_chemical_formula_sum 'Ac4 Ga6 Au4'
_cell_length_a 10.9792
_cell_length_b 4.7843
_cell_length_c 6.8120
_cell_angle_alpha 90.00
_cell_angle_beta 107.38
_cell_angle_gamma 90.00
_symmetry_space_group_name_H-M 'C 1 2/m 1'
_symmetry_Int_Tables_number 12
_symmetry_space_group_name_Hall '-C 2y'
loop_
_atom_site_label
_atom_site_type_symbol
_atom_site_fract_x
_atom_site_fract_y
_atom_site_fract_z
Ac1 Ac 0.1498 0.0000 0.2746
Ga1 Ga 0.0000 0.5000 0.5000
Ga2 Ga 0.0919 0.5000 0.9114
Au1 Au 0.1570 0.0000 0.7737
# formation energy = -0.626 eV/atom